A.
# NdY2Si

A relaxed structure of NdY2Si (PBE, the Alexandria database).

Properties
D(E_F) = 1.22 states/eV/atom
calculated volume = 120 Å³/cell
SG = R-3m (166)

Lattice parameters (Å, degrees): 10.075 10.075 10.075 21.49 21.49 21.49
Fractional coordinates of all 4 atoms:
Nd1 0.000 0.000 0.000
Y1 0.229 0.229 0.229
Y2 0.771 0.771 0.771
Si1 0.500 0.500 0.500

B.
# NdY2Si

A relaxed structure of NdY2Si (PBE, the Alexandria database).

Properties
D(E_F) = 1.32 states/eV/atom
calculated volume = 122 Å³/cell
SG = R3m (160)

Lattice parameters (Å, degrees): 9.878 9.878 9.878 22.33 22.33 22.33
Fractional coordinates of all 4 atoms:
Nd1 0.000 0.000 0.000
Y1 0.560 0.560 0.560
Y2 0.770 0.770 0.770
Si1 0.165 0.165 0.165

Which is the most stable structure? B is the most stable.

A.
# NdYZnSi

A relaxed structure of NdYZnSi (PBE, the Alexandria database).

Properties
D(E_F) = 0.42 states/eV/atom
calculated volume = 92 Å³/cell
SG = F-43m (216)

Lattice parameters (Å, degrees): 5.072 5.072 5.072 60.00 60.00 60.00
Fractional coordinates of all 4 atoms:
Nd1 0.000 0.000 0.000
Y1 0.500 0.500 0.500
Zn1 0.250 0.250 0.250
Si1 0.750 0.750 0.750

B.
# NdYZnSi

A relaxed structure of NdYZnSi (PBE, the Alexandria database).

Properties
D(E_F) = 1.01 states/eV/atom
calculated volume = 97 Å³/cell
SG = Amm2 (38)

Lattice parameters (Å, degrees): 4.088 5.963 5.963 41.65 90.00 90.00
Fractional coordinates of all 4 atoms:
Nd1 0.000 0.000 0.000
Y1 0.500 0.285 0.285
Zn1 0.500 0.580 0.580
Si1 0.000 0.719 0.719

Which is the most stable structure? B is the most stable.

A.
# NdZnSi2

A relaxed structure of NdZnSi2 (PBE, the Alexandria database).

Properties
D(E_F) = 0.52 states/eV/atom
calculated volume = 85 Å³/cell
SG = Cmmm (65)

Lattice parameters (Å, degrees): 4.907 4.907 3.997 90.00 90.00 117.61
Fractional coordinates of all 4 atoms:
Nd1 0.000 0.000 0.000
Zn1 0.500 0.500 0.500
Si1 0.000 0.500 0.500
Si2 0.500 0.000 0.500

B.
# NdZnSi2

A relaxed structure of NdZnSi2 (PBE, the Alexandria database).

Properties
D(E_F) = 0.64 states/eV/atom
calculated volume = 84 Å³/cell
SG = R-3m (166)

Lattice parameters (Å, degrees): 4.669 4.669 4.669 67.54 67.54 67.54
Fractional coordinates of all 4 atoms:
Nd1 0.000 0.000 0.000
Zn1 0.500 0.500 0.500
Si1 0.275 0.275 0.275
Si2 0.725 0.725 0.725

Which is the most stable structure? A is the most stable.

A.
# Nd2ZnSi3

A relaxed structure of Nd2ZnSi3 (PBE, the Alexandria database).

Properties
D(E_F) = 0.18 states/eV/atom
calculated volume = 124 Å³/cell
SG = Imm2 (44)

Lattice parameters (Å, degrees): 7.648 7.648 7.648 148.43 147.94 45.61
Fractional coordinates of all 6 atoms:
Nd1 0.000 0.000 0.000
Nd2 0.758 0.258 0.500
Zn1 0.590 0.590 0.000
Si1 0.171 0.671 0.500
Si2 0.337 0.837 0.500
Si3 0.421 0.421 0.000

B.
# Nd2ZnSi3

A relaxed structure of Nd2ZnSi3 (PBE, the Alexandria database).

Properties
D(E_F) = 0.29 states/eV/atom
calculated volume = 124 Å³/cell
SG = Pmm2 (25)

Lattice parameters (Å, degrees): 4.137 4.239 7.071 90.00 90.00 90.00
Fractional coordinates of all 6 atoms:
Nd1 0.000 0.000 0.000
Nd2 0.500 0.000 0.487
Zn1 0.000 0.500 0.664
Si1 0.000 0.500 0.327
Si2 0.500 0.500 0.159
Si3 0.500 0.500 0.827

Which is the most stable structure? A is the most stable.

A.
# Nd8Sm3

A relaxed structure of Nd8Sm3 (PBE, the Alexandria database).

Properties
D(E_F) = 1.57 states/eV/atom
calculated volume = 385 Å³/cell
SG = C2/m (12)

Lattice parameters (Å, degrees): 6.369 6.369 13.229 103.79 103.79 47.94
Fractional coordinates of all 11 atoms:
Nd1 0.046 0.046 0.318
Nd2 0.136 0.136 0.955
Nd3 0.228 0.228 0.591
Nd4 0.318 0.318 0.227
Nd5 0.682 0.682 0.773
Nd6 0.772 0.772 0.409
Nd7 0.864 0.864 0.045
Nd8 0.954 0.954 0.682
Sm1 0.409 0.409 0.864
Sm2 0.500 0.500 0.500
Sm3 0.591 0.591 0.136

B.
# Nd8Sm3

A relaxed structure of Nd8Sm3 (PBE, the Alexandria database).

Properties
D(E_F) = 1.16 states/eV/atom
calculated volume = 389 Å³/cell
SG = R-3 (148)

Lattice parameters (Å, degrees): 7.327 7.327 7.327 85.13 85.13 85.13
Fractional coordinates of all 11 atoms:
Nd1 0.120 0.120 0.120
Nd2 0.193 0.613 0.352
Nd3 0.352 0.193 0.613
Nd4 0.387 0.648 0.807
Nd5 0.613 0.352 0.193
Nd6 0.648 0.807 0.387
Nd7 0.807 0.387 0.648
Nd8 0.880 0.880 0.880
Sm1 0.000 0.000 0.500
Sm2 0.000 0.500 0.000
Sm3 0.500 0.000 0.000

Which is the most stable structure? A is the most stable.

A.
# Nd13Sm3

A relaxed structure of Nd13Sm3 (PBE, the Alexandria database).

Properties
D(E_F) = 1.71 states/eV/atom
calculated volume = 564 Å³/cell
SG = Amm2 (38)

Lattice parameters (Å, degrees): 7.400 8.742 8.742 85.84 90.00 90.00
Fractional coordinates of all 16 atoms:
Nd1 0.000 0.000 0.000
Nd2 0.000 0.415 0.917
Nd3 0.000 0.499 0.499
Nd4 0.000 0.917 0.415
Nd5 0.250 0.167 0.665
Nd6 0.250 0.665 0.167
Nd7 0.250 0.749 0.749
Nd8 0.500 0.000 0.000
Nd9 0.500 0.416 0.917
Nd10 0.500 0.917 0.416
Nd11 0.750 0.167 0.665
Nd12 0.750 0.665 0.167
Nd13 0.750 0.749 0.749
Sm1 0.250 0.250 0.250
Sm2 0.500 0.499 0.499
Sm3 0.750 0.250 0.250

B.
# Nd13Sm3

A relaxed structure of Nd13Sm3 (PBE, the Alexandria database).

Properties
D(E_F) = 1.63 states/eV/atom
calculated volume = 560 Å³/cell
SG = Amm2 (38)

Lattice parameters (Å, degrees): 10.377 7.344 7.344 89.99 90.00 90.00
Fractional coordinates of all 16 atoms:
Nd1 0.000 0.000 0.000
Nd2 0.000 0.000 0.499
Nd3 0.000 0.499 0.000
Nd4 0.000 0.499 0.499
Nd5 0.250 0.249 0.750
Nd6 0.250 0.750 0.249
Nd7 0.251 0.750 0.750
Nd8 0.500 0.001 0.498
Nd9 0.500 0.498 0.001
Nd10 0.500 0.499 0.499
Nd11 0.749 0.750 0.750
Nd12 0.750 0.249 0.750
Nd13 0.750 0.750 0.249
Sm1 0.250 0.249 0.249
Sm2 0.500 0.001 0.001
Sm3 0.750 0.249 0.249

Which is the most stable structure? B is the most stable.